Zr2Co2Cu | SCAN | PBEsol geometry

POSCAR file:
```
Zr2Co2Cu
1.0
3.402 0.000 0.000
0.000 3.402 0.000
-1.701 -1.701 6.921
Zr Cu Co
2 1 2
Cartesian
1.701 1.701 1.579
0.000 0.000 5.342
0.000 0.000 0.000
1.701 0.000 3.461
0.000 1.701 3.461
```

Space group = I4/mmm (139)
Energy relative to the lowest polymorph listed for this composition = 0.343 eV per atom
VASP energy = -22.0668 eV per atom